Here is an optimized crystal structure of CaErMgPb from the Alexandria database. Energies are from PBE.

The structure in POSCAR format:
```
CaErMgPb
1.0
7.6670 0.0000 0.0000
0.0000 7.6670 0.0000
0.0000 0.0000 7.6670
Ca Er Mg Pb
4 4 4 4
direct
0.0000 0.0000 0.0000
0.0000 0.5000 0.5000
0.5000 0.0000 0.5000
0.5000 0.5000 0.0000
0.0000 0.0000 0.5000
0.0000 0.5000 0.0000
0.5000 0.0000 0.0000
0.5000 0.5000 0.5000
0.2500 0.2500 0.2500
0.2500 0.7500 0.7500
0.7500 0.2500 0.7500
0.7500 0.7500 0.2500
0.2500 0.2500 0.7500
0.2500 0.7500 0.2500
0.7500 0.2500 0.2500
0.7500 0.7500 0.7500
```

Magnetization: 0.000 μB/atom
Electronic total energy: -51.67 eV per cell